Here is a geometry-optimized CeTmTeS structure from Alexandria. Energies are from PBE-GGA.

Values from the calculation:
- volume (Å³ per cell) = 104
- space group = R3m, No. 160
- E_tot (eV/atom) = -5.906

a b c (Å): 3.982 3.982 7.940
angles (deg): 90.00 104.53 120.00
Last column: magnetic moment on the atom in μB.
Fractional coordinates of all 4 atoms:
Ce 0.981 0.389 0.385  1.08
Tm 0.289 0.542 0.846  0.00
Te 0.124 0.960 0.099  -0.01
S 0.484 0.140 0.639  -0.01

***

Here is a geometry-optimized Hf5In2Ge2 structure from Alexandria. Energies are from PBE-GGA.

Values from the calculation:
- volume (Å³ per cell) = 378
- space group = Cmce, No. 64
- E_tot (eV/atom) = -7.519

a b c (Å): 7.297 7.236 8.041
angles (deg): 90.00 63.02 90.00
Fractional coordinates of all 18 atoms:
Hf 0.000 0.000 0.000
Hf 0.500 0.500 0.000
Hf 0.451 0.172 0.754
Hf 0.795 0.828 0.754
Hf 0.295 0.672 0.754
Hf 0.951 0.328 0.754
Hf 0.549 0.828 0.246
Hf 0.205 0.172 0.246
Hf 0.705 0.328 0.246
Hf 0.049 0.672 0.246
In 0.215 0.000 0.570
In 0.715 0.500 0.570
In 0.785 0.000 0.430
In 0.285 0.500 0.430
Ge 0.130 0.369 0.000
Ge 0.870 0.631 0.000
Ge 0.370 0.869 0.000
Ge 0.630 0.131 0.000

***

Here is a geometry-optimized Ge2Se structure from Alexandria. Energies are from PBE-GGA.

Values from the calculation:
- volume (Å³ per cell) = 151
- E above lowest polymorph (meV/atom) = 14
- space group = P2_1, No. 4
- E_tot (eV/atom) = -4.279

a b c (Å): 4.197 6.913 5.602
angles (deg): 90.00 111.48 90.00
Fractional coordinates of all 6 atoms:
Ge 0.326 0.489 0.169
Ge 0.674 0.989 0.831
Ge 0.275 0.126 0.036
Ge 0.725 0.626 0.964
Se 0.313 0.908 0.392
Se 0.687 0.408 0.608